# GGA-PBE CeTh2Se4, optimized geometry
data_CeTh2Se4
_space_group_name_H-M_alt 'I -4 2 d'
_space_group_IT_number 122
_space_group_name_Hall 'I -4 2bw'
_cell_length_a 8.8514
_cell_length_b 8.8514
_cell_length_c 8.9008
_cell_angle_alpha 90.00
_cell_angle_beta 90.00
_cell_angle_gamma 90.00
loop_
_atom_site_label
_atom_site_type_symbol
_atom_site_fract_x
_atom_site_fract_y
_atom_site_fract_z
Ce1 Ce 0.0000 0.0000 0.0000
Th1 Th 0.1205 0.7500 0.6250
Se1 Se 0.0782 0.6741 0.9521
# ΔE_f (raw): -1131 kJ/mol of formula units
# E_tot: -6.6331 eV per atom
# M_tot: 0.9 μB/f.u.


# GGA-PBE Ce3Th2Se6, optimized geometry
data_Ce3Th2Se6
_space_group_name_H-M_alt 'C 1 2/m 1'
_space_group_IT_number 12
_space_group_name_Hall '-C 2y'
_cell_length_a 7.2217
_cell_length_b 12.5514
_cell_length_c 7.2471
_cell_angle_alpha 90.00
_cell_angle_beta 109.54
_cell_angle_gamma 90.00
loop_
_atom_site_label
_atom_site_type_symbol
_atom_site_fract_x
_atom_site_fract_y
_atom_site_fract_z
Ce1 Ce 0.0000 0.0000 0.0000
Ce2 Ce 0.0000 0.3334 0.0000
Th1 Th 0.0000 0.1662 0.5000
Se1 Se 0.2433 0.5000 0.2557
Se2 Se 0.2440 0.3373 0.7445
# ΔE_f (raw): -1848 kJ/mol of formula units
# E_tot: -6.6088 eV per atom
# M_tot: 2.9 μB/f.u.


# GGA-PBE CeTm3Th4Se8, optimized geometry
data_CeTm3Th4Se8
_space_group_name_H-M_alt 'R -3 m'
_space_group_IT_number 166
_space_group_name_Hall '-R 3 2"'
_cell_length_a 8.0529
_cell_length_b 8.0529
_cell_length_c 21.3238
_cell_angle_alpha 90.00
_cell_angle_beta 90.00
_cell_angle_gamma 120.00
loop_
_atom_site_label
_atom_site_type_symbol
_atom_site_fract_x
_atom_site_fract_y
_atom_site_fract_z
Ce1 Ce 0.0000 0.0000 0.0000
Tm1 Tm 0.0000 0.5000 0.0000
Th1 Th 0.0000 0.0000 0.5000
Th2 Th 0.0000 0.5000 0.5000
Se1 Se 0.0000 0.0000 0.2570
Se2 Se 0.0076 0.5038 0.2554
# ΔE_f (raw): -2505 kJ/mol of formula units
# E_tot: -6.4293 eV per atom
# M_tot: 0.7 μB/f.u.


# GGA-PBE Ce2TmThSe4, optimized geometry
data_Ce2TmThSe4
_space_group_name_H-M_alt 'P 1 2/m 1'
_space_group_IT_number 10
_space_group_name_Hall '-P 2y'
_cell_length_a 7.1663
_cell_length_b 4.1324
_cell_length_c 7.2647
_cell_angle_alpha 90.00
_cell_angle_beta 109.13
_cell_angle_gamma 90.00
loop_
_atom_site_label
_atom_site_type_symbol
_atom_site_fract_x
_atom_site_fract_y
_atom_site_fract_z
Ce1 Ce 0.0000 0.0000 0.0000
Ce2 Ce 0.0000 0.5000 0.5000
Tm1 Tm 0.5000 0.0000 0.5000
Th1 Th 0.5000 0.5000 0.0000
Se1 Se 0.2543 0.0000 0.7412
Se2 Se 0.2613 0.5000 0.2634
# ΔE_f (raw): -1322 kJ/mol of formula units
# E_tot: -6.4246 eV per atom
# M_tot: 1.7 μB/f.u.